[1]
CePm2Pb4 | PBE-GGA | optimized geometry

Structure (POSCAR):
```
CePm2Pb4
1.0
-1.107 1.958 5.850
5.624 -2.700 1.968
5.573 8.156 -4.738
Ce Pm Pb
2 4 8
direct
0.173 0.750 0.193 Ce
0.827 0.250 0.807 Ce
0.620 0.750 0.984 Pm
0.380 0.250 0.016 Pm
0.318 0.250 0.423 Pm
0.682 0.750 0.577 Pm
0.655 0.510 0.272 Pb
0.058 0.750 0.885 Pb
0.942 0.250 0.115 Pb
0.655 0.990 0.272 Pb
0.878 0.250 0.526 Pb
0.345 0.010 0.728 Pb
0.345 0.490 0.728 Pb
0.122 0.750 0.474 Pb
```

Computed properties:
Volume = 30.97 Å³/atom
Formation energy from the elements = -0.302 eV per atom



[2]
Ce2PmPb | PBE-GGA | optimized geometry

Structure (POSCAR):
```
Ce2PmPb
1.0
4.289 0.000 0.000
0.000 4.289 0.000
0.000 0.000 6.818
Pb Ce Pm
1 2 1
direct
0.500 0.500 0.500 Pb
0.000 0.000 0.704 Ce
0.000 0.000 0.296 Ce
0.500 0.500 0.000 Pm
```

Computed properties:
Volume = 31.35 Å³/atom
Formation energy from the elements = -0.184 eV per atom
Energy relative to the lowest polymorph listed for this composition = 117 meV/atom



[3]
CePm2Pb9 | PBE-GGA | optimized geometry

Structure (POSCAR):
```
CePm2Pb9
1.0
-2.092 3.546 -2.694
-2.220 -3.410 -2.766
-11.598 0.118 9.162
Ce Pm Pb
1 2 9
direct
0.000 0.000 0.000 Ce
0.000 0.000 0.330 Pm
0.000 0.000 0.670 Pm
0.500 0.500 0.000 Pb
0.500 0.500 0.333 Pb
0.500 0.500 0.667 Pb
0.500 0.000 0.166 Pb
0.500 0.000 0.500 Pb
0.500 0.000 0.834 Pb
0.000 0.500 0.166 Pb
0.000 0.500 0.500 Pb
0.000 0.500 0.834 Pb
```

Computed properties:
Volume = 29.82 Å³/atom
Formation energy from the elements = -0.355 eV per atom



[4]
Ce2PmPb | PBE-GGA | optimized geometry

Structure (POSCAR):
```
Ce2PmPb
1.0
5.550 0.000 0.000
2.775 4.807 0.000
2.775 1.602 4.532
Pb Ce Pm
1 2 1
direct
0.500 0.500 0.500 Pb
0.250 0.250 0.250 Ce
0.750 0.750 0.750 Ce
0.000 0.000 0.000 Pm
```

Computed properties:
Volume = 30.22 Å³/atom
Formation energy from the elements = -0.044 eV per atom
Energy relative to the lowest polymorph listed for this composition = 257 meV/atom



[5]
Ce6PmPb10 | PBE-GGA | optimized geometry

Structure (POSCAR):
```
Ce6PmPb10
1.0
-0.723 5.250 3.850
-2.251 -5.706 7.358
9.137 2.411 -1.571
Ce Pm Pb
6 1 10
direct
0.735 0.384 0.384 Ce
0.735 0.000 0.616 Ce
0.735 0.616 0.000 Ce
0.265 0.616 0.616 Ce
0.265 0.000 0.384 Ce
0.265 0.384 0.000 Ce
0.500 0.000 0.000 Pm
0.787 0.728 0.728 Pb
0.787 0.000 0.272 Pb
0.787 0.272 0.000 Pb
0.213 0.272 0.272 Pb
0.213 0.000 0.728 Pb
0.213 0.728 0.000 Pb
0.500 0.333 0.667 Pb
0.500 0.667 0.333 Pb
0.000 0.667 0.333 Pb
0.000 0.333 0.667 Pb
```

Computed properties:
Volume = 30.62 Å³/atom
Formation energy from the elements = -0.334 eV per atom



[6]
Ce3Pm3Pb5 | PBE-GGA | optimized geometry

Structure (POSCAR):
```
Ce3Pm3Pb5
1.0
3.395 0.000 0.000
0.000 11.022 0.000
0.000 -5.511 9.545
Ce Pm Pb
3 3 5
direct
0.000 0.849 0.849 Ce
0.000 0.151 0.000 Ce
0.000 0.000 0.151 Ce
0.500 0.599 0.599 Pm
0.500 0.000 0.401 Pm
0.500 0.401 0.000 Pm
0.500 0.333 0.667 Pb
0.500 0.667 0.333 Pb
0.500 0.309 0.309 Pb
0.500 0.000 0.691 Pb
0.500 0.691 0.000 Pb
```

Computed properties:
Volume = 32.47 Å³/atom
Formation energy from the elements = 0.128 eV per atom



[7]
CePm5Pb4 | PBE-GGA | optimized geometry

Structure (POSCAR):
```
CePm5Pb4
1.0
-5.508 0.019 -0.748
0.987 0.011 -7.264
1.738 -8.366 7.634
Ce Pm Pb
1 5 4
direct
0.500 0.000 0.000 Ce
0.834 0.675 0.667 Pm
0.834 0.158 0.668 Pm
0.166 0.842 0.332 Pm
0.500 0.500 0.000 Pm
0.166 0.325 0.333 Pm
0.324 0.898 0.647 Pb
0.991 0.730 0.982 Pb
0.676 0.102 0.353 Pb
0.009 0.270 0.018 Pb
```

Computed properties:
Volume = 34.00 Å³/atom
Formation energy from the elements = -0.350 eV per atom



[8]
CePm3Pb5 | PBE-GGA | optimized geometry

Structure (POSCAR):
```
CePm3Pb5
1.0
6.566 0.000 0.000
0.000 9.770 0.000
0.000 -4.885 8.461
Ce Pm Pb
2 6 10
direct
0.000 0.000 0.000 Ce
0.500 0.000 0.000 Ce
0.750 0.378 0.000 Pm
0.750 0.622 0.622 Pm
0.750 0.000 0.378 Pm
0.250 0.622 0.000 Pm
0.250 0.378 0.378 Pm
0.250 0.000 0.622 Pm
0.000 0.333 0.667 Pb
0.500 0.667 0.333 Pb
0.000 0.667 0.333 Pb
0.500 0.333 0.667 Pb
0.750 0.708 0.000 Pb
0.750 0.292 0.292 Pb
0.750 0.000 0.708 Pb
0.250 0.292 0.000 Pb
0.250 0.708 0.708 Pb
0.250 0.000 0.292 Pb
```

Computed properties:
Volume = 30.16 Å³/atom
Formation energy from the elements = -0.444 eV per atom